[1]
Cu6GePd12 (PBE, relaxed); total moment = 0.00 μB/f.u.; V = 14.7 Å³ per atom; ΔE to the lowest computed polymorph = 63 meV per atom; E_form = -1.4 eV per formula unit
1.0
-4.266 -0.269 4.945
2.971 -5.332 2.336
3.929 3.732 3.654
Pd Cu Ge
12 6 1
Direct
0.531 0.437 0.803 Pd
0.365 0.020 0.151 Pd
0.803 0.531 0.437 Pd
0.849 0.635 0.980 Pd
0.563 0.197 0.469 Pd
0.437 0.803 0.531 Pd
0.635 0.980 0.849 Pd
0.197 0.469 0.563 Pd
0.151 0.365 0.020 Pd
0.020 0.151 0.365 Pd
0.980 0.849 0.635 Pd
0.469 0.563 0.197 Pd
0.270 0.731 0.888 Cu
0.112 0.730 0.269 Cu
0.269 0.112 0.730 Cu
0.888 0.270 0.731 Cu
0.731 0.888 0.270 Cu
0.730 0.269 0.112 Cu
0.000 0.000 0.000 Ge

---

[2]
Tl4In2HgPb2 (PBE, relaxed); total moment = 0.00 μB/f.u.; V = 29.6 Å³ per atom; E_form = 0.2 eV per formula unit
1.0
-3.985 -1.144 4.433
5.749 -0.426 7.000
0.493 5.806 -4.933
Tl Pb In Hg
4 2 2 1
Direct
0.668 0.659 0.334 Tl
0.435 0.783 0.887 Tl
0.332 0.341 0.666 Tl
0.565 0.217 0.113 Tl
0.786 0.111 0.573 Pb
0.214 0.889 0.427 Pb
0.121 0.446 0.222 In
0.879 0.554 0.778 In
0.000 0.000 0.000 Hg

---

[3]
ZrTaCl2 (PBE, relaxed); total moment = 0.00 μB/f.u.; V = 19.4 Å³ per atom; ΔE to the lowest computed polymorph = 723 meV per atom
1.0
5.559 0.001 0.003
1.689 5.297 -0.003
-2.473 -4.224 2.636
Ta Cl Zr
1 2 1
Direct
0.750 0.250 0.500 Ta
0.514 0.514 0.000 Cl
0.986 0.986 0.000 Cl
0.250 0.750 0.500 Zr

---

[4]
PuAlCrRu (PBE, relaxed); total moment = 1.99 μB/f.u.; V = 16.2 Å³ per atom; E_form = -0.8 eV per formula unit
1.0
-2.334 -1.389 -3.603
2.073 -0.495 -3.977
0.695 -4.128 -1.683
Pu Ru Al Cr
1 1 1 1
Direct
0.000 0.000 0.000 Pu
0.250 0.250 0.250 Ru
0.500 0.500 0.500 Al
0.750 0.750 0.750 Cr